Th2PaCo PBE-GGA optimized geometry; total energy = -30.13 eV for the cell shown; SG = R-3m (166); crystal system = trigonal; energy of formation = 0.33 eV/atom
1.0
1.7567 1.0143 9.9351
-1.7567 1.0143 9.9351
0.0000 -2.0285 9.9351
Th Pa Co
2 1 1
direct
0.1070 0.1070 0.1070
0.8930 0.8930 0.8930
0.0000 0.0000 0.0000
0.5000 0.5000 0.5000

Th2PaCo9 PBE-GGA optimized geometry; total energy = -90.69 eV for the cell shown; SG = R-3m (166); crystal system = trigonal; energy of formation = -0.20 eV/atom
1.0
2.4511 1.4151 8.3173
-2.4511 1.4151 8.3173
0.0000 -2.8302 8.3173
Th Pa Co
2 1 9
direct
0.1363 0.1363 0.1363
0.8637 0.8637 0.8637
0.0000 0.0000 0.0000
0.0792 0.5782 0.5782
0.3332 0.3332 0.3332
0.4218 0.4218 0.9208
0.4218 0.9208 0.4218
0.5000 0.5000 0.5000
0.5782 0.0792 0.5782
0.5782 0.5782 0.0792
0.6668 0.6668 0.6668
0.9208 0.4218 0.4218

ThPa2Co PBE-GGA optimized geometry; total energy = -33.81 eV for the cell shown; polymorph energy (0 for the lowest one) = 126 meV per atom; SG = P4/mmm (123); crystal system = tetragonal; energy of formation = -0.07 eV/atom
1.0
3.4545 0.0000 0.0000
0.0000 3.4545 0.0000
0.0000 0.0000 7.8105
Th Pa Co
1 2 1
direct
0.0000 0.0000 0.0000
0.5000 0.5000 0.3142
0.5000 0.5000 0.6858
0.0000 0.0000 0.5000

ThPa3Co2 PBE-GGA optimized geometry; total energy = -102.48 eV for the cell shown; SG = C2/m (12); crystal system = monoclinic; energy of formation = -0.19 eV/atom
1.0
8.7730 -1.7284 0.0000
8.7730 1.7284 0.0000
-2.8994 0.0000 8.5479
Th Pa Co
2 6 4
direct
0.1146 0.1146 0.1185
0.8854 0.8854 0.8815
0.0318 0.0318 0.6694
0.3177 0.3177 0.1284
0.3470 0.3470 0.5184
0.6530 0.6530 0.4816
0.6823 0.6823 0.8716
0.9682 0.9682 0.3306
0.2341 0.2341 0.7005
0.4957 0.4957 0.1470
0.5043 0.5043 0.8530
0.7659 0.7659 0.2995

ThPa2Co6 PBE-GGA optimized geometry; total energy = -69.98 eV for the cell shown; SG = Immm (71); crystal system = orthorhombic; energy of formation = -0.10 eV/atom
1.0
-1.7380 3.2835 6.5916
1.7380 -3.2835 6.5916
1.7380 3.2835 -6.5916
Th Pa Co
1 2 6
direct
0.0000 0.0000 0.0000
0.3449 0.8449 0.5000
0.6551 0.1551 0.5000
0.0434 0.3246 0.7187
0.3178 0.5000 0.8178
0.3941 0.6754 0.7187
0.6059 0.3246 0.2813
0.6822 0.5000 0.1822
0.9566 0.6754 0.2813

ThPa2Co PBE-GGA optimized geometry; total energy = -68.62 eV for the cell shown; polymorph energy (0 for the lowest one) = 0 meV per atom; SG = P2_1/m (11); crystal system = monoclinic; energy of formation = -0.20 eV/atom
1.0
3.5201 0.0000 0.0000
0.0000 9.5386 0.0000
-1.7449 0.0000 5.6012
Th Pa Co
2 4 2
direct
0.0848 0.2500 0.1720
0.9152 0.7500 0.8280
0.3621 0.0564 0.7232
0.3621 0.4436 0.7232
0.6379 0.5564 0.2768
0.6379 0.9436 0.2768
0.1965 0.7500 0.3925
0.8035 0.2500 0.6075